[1]
First-principles (PBE-GGA) data for a relaxed TlGeAsPt crystal, as listed in Alexandria via LeMat-Bulk.

Calculated values
* magnetic moment: 0.00 Bohr magnetons per cell
* raw total energy: -4.437 eV per atom
* formation energy: -0.1 eV per formula unit

Cell lengths 3.2185, 4.5854, 7.0982 Å; angles 94.37, 102.44, 108.87 degrees
Space group P1 (No. 1)
One atom of each set of equivalent atoms:
Tl  0.0000  0.0000  0.0000 [1 per cell]
Ge  0.4438  0.3499  0.5741 [1 per cell]
As  0.4283  0.6116  0.2471 [1 per cell]
Pt  0.7604  0.9291  0.5902 [1 per cell]


[2]
First-principles (PBE-GGA) data for a relaxed TlGeAsPt crystal, as listed in Alexandria via LeMat-Bulk.

Calculated values
* magnetic moment: 0.00 Bohr magnetons per cell
* raw total energy: -4.322 eV per atom
* formation energy: 0.4 eV per formula unit

Cell lengths 3.4800, 3.4800, 8.1756 Å; angles 90.00, 90.00, 120.00 degrees
Space group P3m1 (No. 156)
One atom of each set of equivalent atoms:
Tl  0.0000  0.0000  0.0000 [1 per cell]
Ge  0.6667  0.3333  0.2934 [1 per cell]
As  0.0000  0.0000  0.5477 [1 per cell]
Pt  0.3333  0.6667  0.7269 [1 per cell]


[3]
First-principles (PBE-GGA) data for a relaxed TlGeAsPt crystal, as listed in Alexandria via LeMat-Bulk.

Calculated values
* magnetic moment: 0.00 Bohr magnetons per cell
* raw total energy: -4.574 eV per atom
* formation energy: -0.6 eV per formula unit

Cell lengths 4.6922, 4.2099, 4.9215 Å; angles 90.00, 111.79, 90.00 degrees
Space group Pm (No. 6)
One atom of each set of equivalent atoms:
Tl  0.0000  0.0000  0.0000 [1 per cell]
Ge  0.3058  0.5000  0.6655 [1 per cell]
As  0.6881  0.5000  0.3268 [1 per cell]
Pt  0.4971  0.0000  0.5033 [1 per cell]